# 1
Density functional theory data (PBE-GGA) for a relaxed structure of KScCd2.

Values from the calculation:
Calculated formation energy ... 0.218 eV/atom
Crystal system ... cubic
Energy relative to the lowest polymorph listed for this composition ... 284 meV per atom
Magnetization ... 0.00 μB/f.u.

CIF file:
```
data_KScCd2
_chemical_formula_sum 'K4 Sc4 Cd8'
_symmetry_space_group_name_H-M 'F -4 3 m'
_symmetry_Int_Tables_number 216
_symmetry_space_group_name_Hall 'F -4 2 3'
_cell_length_a 7.384
_cell_length_b 7.384
_cell_length_c 7.384
_cell_angle_alpha 90.00
_cell_angle_beta 90.00
_cell_angle_gamma 90.00
loop_
_atom_site_label
_atom_site_type_symbol
_atom_site_fract_x
_atom_site_fract_y
_atom_site_fract_z
_atom_site_occupancy
K1 K 0.000 0.000 0.000 1
Sc1 Sc 0.250 0.250 0.250 1
Cd1 Cd 0.000 0.000 0.500 1
Cd2 Cd 0.250 0.250 0.750 1
```

# 2
Density functional theory data (PBE-GGA) for a relaxed structure of TaSbTe2As.

Values from the calculation:
Raw formation energy ... 1.502 eV per atom
Crystal system ... tetragonal
Energy relative to the lowest polymorph listed for this composition ... 884 meV per atom
Magnetization ... 0.00 μB/f.u.

CIF file:
```
data_TaSbTe2As
_chemical_formula_sum 'Ta1 Sb1 Te2 As1'
_symmetry_space_group_name_H-M 'P 4/m m m'
_symmetry_Int_Tables_number 123
_symmetry_space_group_name_Hall '-P 4 2'
_cell_length_a 5.651
_cell_length_b 5.651
_cell_length_c 5.218
_cell_angle_alpha 90.00
_cell_angle_beta 90.00
_cell_angle_gamma 90.00
loop_
_atom_site_label
_atom_site_type_symbol
_atom_site_fract_x
_atom_site_fract_y
_atom_site_fract_z
_atom_site_occupancy
Ta1 Ta 0.000 0.000 0.000 1
Sb1 Sb 0.000 0.000 0.500 1
Te1 Te 0.000 0.500 0.500 1
As1 As 0.500 0.500 0.000 1
```

# 3
Density functional theory data (PBE-GGA) for a relaxed structure of Li2SmGa4Ru.

Values from the calculation:
Calculated formation energy ... -0.387 eV/atom
Crystal system ... trigonal
Magnetization ... 0.00 μB/f.u.

CIF file:
```
data_Li2SmGa4Ru
_chemical_formula_sum 'Li6 Sm3 Ga12 Ru3'
_symmetry_space_group_name_H-M 'R -3 m'
_symmetry_Int_Tables_number 166
_symmetry_space_group_name_Hall '-R 3 2"'
_cell_length_a 4.2408
_cell_length_b 4.2408
_cell_length_c 27.0107
_cell_angle_alpha 90.00
_cell_angle_beta 90.00
_cell_angle_gamma 120.00
loop_
_atom_site_label
_atom_site_type_symbol
_atom_site_fract_x
_atom_site_fract_y
_atom_site_fract_z
_atom_site_occupancy
Li1 Li 0.0000 0.0000 0.2295 1
Sm1 Sm 0.0000 0.0000 0.0000 1
Ga1 Ga 0.0000 0.0000 0.1304 1
Ga2 Ga 0.0000 0.0000 0.4040 1
Ru1 Ru 0.0000 0.0000 0.5000 1
```